The following is a PBE calculation of a geometry-optimized Li4Zn2Cd structure, from Alexandria via LeMat-Bulk.

Lattice parameters (Å, degrees): 9.176 2.776 9.770 90.00 102.45 90.00
Space group C2/m (No. 12)
One atom of each set of equivalent atoms:
Li 0.088 0.000 0.287 (multiplicity 4)
Li 0.202 0.000 0.856 (multiplicity 4)
Zn 0.148 0.000 0.568 (multiplicity 4)
Cd 0.000 0.500 0.000 (multiplicity 2)

Results
- V (Å³/atom) = 17.4
- energy relative to the elements (eV per atom) = -0.10
- calculated total energy (eV/atom) = -1.685